VGaP2W: relaxed, PBE-GGA.

Output
M_tot (μB/cell): 0.050
Crystal system: tetragonal
ΔE_f (kJ per mole of atoms): 167

abc: 4.477 4.477 4.736
angles: 90.00 90.00 90.00
Element x y z (fractional)
V (0.000, 0.000, 0.000)
Ga (0.500, 0.500, 0.500)
P (0.000, 0.500, 0.500)
P (0.500, 0.000, 0.500)
W (0.500, 0.500, 0.000)